[1]
Material: PrThMgHg
Method: DFT, GGA-PBE
State: relaxed

Cell and atoms, written as CIF:
```
data_PrThMgHg
_cell_length_a 7.709
_cell_length_b 7.709
_cell_length_c 7.709
_cell_angle_alpha 90.00
_cell_angle_beta 90.00
_cell_angle_gamma 90.00
_symmetry_space_group_name_H-M 'F -4 3 m'
_symmetry_Int_Tables_number 216
_symmetry_space_group_name_Hall 'F -4 2 3'
loop_
_atom_site_label
_atom_site_type_symbol
_atom_site_fract_x
_atom_site_fract_y
_atom_site_fract_z
_atom_site_occupancy
Pr1 Pr 0.000 0.000 0.000 1
Th1 Th 0.000 0.000 0.500 1
Mg1 Mg 0.250 0.250 0.250 1
Hg1 Hg 0.250 0.250 0.750 1
```

Output
ΔH_f (0 K)	-120	meV per atom
N(E_F)	1.356	states/eV per atom

***

[2]
Material: LaP2AuO8
Method: DFT, GGA-PBE
State: relaxed

Cell and atoms, written as CIF:
```
data_LaP2AuO8
_cell_length_a 4.8349
_cell_length_b 4.8349
_cell_length_c 22.2259
_cell_angle_alpha 90.00
_cell_angle_beta 90.00
_cell_angle_gamma 120.00
_symmetry_space_group_name_H-M 'R 3 2'
_symmetry_Int_Tables_number 155
_symmetry_space_group_name_Hall 'R 3 2"'
loop_
_atom_site_label
_atom_site_type_symbol
_atom_site_fract_x
_atom_site_fract_y
_atom_site_fract_z
_atom_site_occupancy
La1 La 0.0000 0.0000 0.0000 1
P1 P 0.0000 0.0000 0.2525 1
Au1 Au 0.0000 0.0000 0.5000 1
O1 O 0.0000 0.0000 0.3226 1
O2 O 0.0100 0.3128 0.7669 1
```

Output
VASP energy	-244.5	eV per cell
N(E_F)	0.127	states/eV per atom